TaTi2CuHg: optimized geometry, PBE.

Results
Uncorrected energy: -28.44 eV per cell
Calculated formation energy: 721 meV/atom
Density of states at the Fermi level: 3.29 states/eV per cell
Magnetic moment: 0.00 μB/cell

Lattice parameters (Å, degrees): 4.576 4.715 4.576 90.00 90.00 90.00
Fractional positions:
Ti 0.000 0.000 0.500
Ta 0.000 0.500 0.000
Cu 0.000 0.000 0.000
Hg 0.500 0.500 0.500
Ti 0.500 0.000 0.000